# 1
This record from Alexandria describes Ba4Hg5Rh2 after structural relaxation. The functional is PBE.

Crystal system ... monoclinic
Formation energy from the elements ... -388 meV/atom

Lattice parameters (Å, degrees): 4.6409 8.0467 9.6943 90.41 90.00 90.00
Closest atoms and distances in Å follow each position.
Positions (direct):
1 Ba 0.5000 0.7759 0.6011  4 Rh 3.27-3.46, 4 Hg 3.58-3.59
2 Ba 0.5000 0.2143 0.8453  2 Rh 3.37, 8 Hg 3.47-3.69
3 Ba 0.5000 0.2241 0.3989  4 Rh 3.27-3.46, 4 Hg 3.58-3.59
4 Ba 0.5000 0.7857 0.1547  2 Rh 3.37, 8 Hg 3.47-3.69
5 Hg 0.0000 0.5896 0.3634  1 Rh 2.81, 1 Hg 3.02
6 Hg 0.0000 0.1217 0.1303  1 Rh 2.79
7 Hg 0.0000 0.5000 0.0000  4 Hg 3.30-3.59, 4 Ba 3.59
8 Hg 0.0000 0.8783 0.8697  1 Rh 2.79
9 Hg 0.0000 0.4104 0.6366  1 Rh 2.81, 1 Hg 3.02
10 Rh 0.0000 0.0615 0.6263  1 Rh 2.63, 2 Hg 2.79-2.81
11 Rh 0.0000 0.9385 0.3737  1 Rh 2.63, 2 Hg 2.79-2.81

=====

# 2
This record from Alexandria describes Ba3HgRh after structural relaxation. The functional is PBE.

Crystal system ... monoclinic
Excess energy over the best structure of this formula in the dataset ... 0.00 eV per formula unit
Formation energy from the elements ... -283 meV/atom

Lattice parameters (Å, degrees): 4.6758 8.9484 10.1004 98.41 90.00 90.00
Closest atoms and distances in Å follow each position.
Positions (direct):
1 Ba 0.7500 0.6205 0.3813  2 Rh 3.04
2 Ba 0.2500 0.3795 0.6187  2 Rh 3.04
3 Ba 0.7500 0.2666 0.9466  1 Rh 2.92
4 Ba 0.2500 0.9269 0.6626  3 Rh 3.21-3.23
5 Ba 0.2500 0.7334 0.0534  1 Rh 2.92
6 Ba 0.7500 0.0731 0.3374  3 Rh 3.21-3.23
7 Hg 0.2500 0.3528 0.2196  6 Ba 3.57-3.74
8 Hg 0.7500 0.6472 0.7804  6 Ba 3.57-3.74
9 Rh 0.2500 0.8276 0.3422  6 Ba 2.92-3.23
10 Rh 0.7500 0.1724 0.6578  6 Ba 2.92-3.23

=====

# 3
This record from Alexandria describes BaHg2Rh after structural relaxation. The functional is PBE.

Crystal system ... orthorhombic
Formation energy from the elements ... 38 meV/atom

Lattice parameters (Å, degrees): 4.4477 4.4809 5.1958 90.00 90.00 90.00
Closest atoms and distances in Å follow each position.
Positions (direct):
1 Ba 0.0000 0.5000 0.5000  4 Rh 3.16, 8 Hg 3.42-3.43
2 Hg 0.0000 0.0000 0.0000  4 Hg 3.16, 4 Rh 3.42, 4 Ba 3.43
3 Hg 0.5000 0.5000 0.0000  4 Hg 3.16, 4 Ba 3.42, 4 Rh 3.43
4 Rh 0.5000 0.0000 0.5000  4 Ba 3.16, 8 Hg 3.42-3.43

=====

# 4
This record from Alexandria describes Ba3Hg2Rh after structural relaxation. The functional is PBE.

Crystal system ... orthorhombic
Formation energy from the elements ... -404 meV/atom

Lattice parameters (Å, degrees): 4.7041 13.6771 13.7029 90.00 90.00 90.00
Closest atoms and distances in Å follow each position.
Positions (direct):
1 Ba 0.2500 0.3704 0.0537  1 Rh 3.43, 4 Hg 3.48-3.63
2 Ba 0.7500 0.6296 0.9463  1 Rh 3.43, 4 Hg 3.48-3.63
3 Ba 0.7500 0.8704 0.4463  1 Rh 3.43, 4 Hg 3.48-3.63
4 Ba 0.2500 0.1296 0.5537  1 Rh 3.43, 4 Hg 3.48-3.63
5 Ba 0.2500 0.7039 0.2283  2 Rh 3.24, 3 Hg 3.46-3.57
6 Ba 0.7500 0.2961 0.7717  2 Rh 3.24, 3 Hg 3.46-3.57
7 Ba 0.7500 0.2039 0.2717  2 Rh 3.24, 3 Hg 3.46-3.57
8 Ba 0.2500 0.7961 0.7283  2 Rh 3.24, 3 Hg 3.46-3.57
9 Ba 0.2500 0.4497 0.3848  3 Rh 3.42-3.50, 5 Hg 3.49-3.55
10 Ba 0.7500 0.5503 0.6152  3 Rh 3.42-3.50, 5 Hg 3.49-3.55
11 Ba 0.7500 0.9497 0.1152  3 Rh 3.42-3.50, 5 Hg 3.49-3.55
12 Ba 0.2500 0.0503 0.8848  3 Rh 3.42-3.50, 5 Hg 3.49-3.55
13 Hg 0.2500 0.6862 0.4803  2 Rh 2.87
14 Hg 0.7500 0.3138 0.5197  2 Rh 2.87
15 Hg 0.7500 0.1862 0.0197  2 Rh 2.87
16 Hg 0.2500 0.8138 0.9803  2 Rh 2.87
17 Hg 0.2500 0.0093 0.3003  1 Rh 2.90
18 Hg 0.7500 0.9907 0.6997  1 Rh 2.90
19 Hg 0.7500 0.5093 0.1997  1 Rh 2.90
20 Hg 0.2500 0.4907 0.8003  1 Rh 2.90
21 Rh 0.2500 0.1308 0.1270  3 Hg 2.87-2.90
22 Rh 0.7500 0.8692 0.8730  3 Hg 2.87-2.90
23 Rh 0.7500 0.6308 0.3730  3 Hg 2.87-2.90
24 Rh 0.2500 0.3692 0.6270  3 Hg 2.87-2.90

=====

Q: The lowest formation energy from the elements belongs to which entry?
A: Ba3Hg2Rh

=====

Q: Among the records above, which one has the highest formation energy from the elements?
A: BaHg2Rh